1.
Ce2Pm3Ga4: optimized geometry, PBE.

Lattice parameters (Å, degrees): 5.1526 5.1526 9.9425 90.00 90.00 120.00
Closest atoms and distances in Å follow each position.
Space group P-3m1 (No. 164)
Inequivalent atoms, fractional coordinates:
Ce: 0.3333 0.6667 0.2068  7 Ga 3.09-3.31
Pm: 0.0000 0.0000 0.0000  8 Ga 3.15-3.52
Pm: 0.3333 0.6667 0.5829  4 Ga 3.04-3.12, 3 Pm 3.40
Ga: 0.0000 0.0000 0.3539  1 Ga 2.91, 3 Pm 3.04
Ga: 0.3333 0.6667 0.8963  4 Ce 3.09-3.15, 4 Pm 3.12-3.15

- Fermi-level density of states: 16.69 states/eV/cell
- E: -4.6648 eV per atom
- Crystal system: trigonal

2.
CsNa2CuI4: optimized geometry, PBE.

Lattice parameters (Å, degrees): 4.6040 16.2739 16.3522 90.00 90.00 90.00
Closest atoms and distances in Å follow each position.
Space group Cmcm (No. 63)
Inequivalent atoms, fractional coordinates:
Cs: 0.0000 0.1089 0.2500  6 I 3.87, 2 Cu 4.28
Na: 0.0000 0.3722 0.0529  6 I 3.22-3.32
Cu: 0.0000 0.1697 0.7500  4 I 2.63-2.71
I: 0.0000 0.0000 0.0000  4 Na 3.22
I: 0.0000 0.2570 0.6144  1 Cu 2.63
I: 0.0000 0.4177 0.2500  2 Cu 2.71

- Fermi-level density of states: 0.00 states/eV/cell
- E_form (uncorrected): -801 kJ/mol of formula units
- E: -2.7607 eV per atom
- Crystal system: orthorhombic

3.
TbPrAlZn: optimized geometry, PBE.

Lattice parameters (Å, degrees): 7.3604 7.3604 7.3604 90.00 90.00 90.00
Closest atoms and distances in Å follow each position.
Space group F-43m (No. 216)
Inequivalent atoms, fractional coordinates:
Tb: 0.0000 0.0000 0.0000  4 Zn 3.19, 4 Al 3.19
Pr: 0.0000 0.0000 0.5000  4 Al 3.19, 4 Zn 3.19
Al: 0.2500 0.2500 0.7500  4 Tb 3.19, 4 Pr 3.19
Zn: 0.2500 0.2500 0.2500  4 Pr 3.19, 4 Tb 3.19

- Fermi-level density of states: 15.29 states/eV/cell
- E: -3.9426 eV per atom
- Crystal system: cubic
- Energy above the lowest structure with this stoichiometry: 0.0109 eV/atom

4.
Tb2Cu3Ni2: optimized geometry, PBE.

Lattice parameters (Å, degrees): 9.6852 4.0898 6.2932 90.00 111.63 90.00
Closest atoms and distances in Å follow each position.
Space group C2/m (No. 12)
Inequivalent atoms, fractional coordinates:
Tb: 0.1456 0.0000 0.2494  5 Ni 2.80-3.08, 4 Cu 2.82-3.01
Cu: 0.0000 0.5000 0.5000  2 Ni 2.52, 4 Cu 2.56
Cu: 0.1381 0.0000 0.7225  3 Ni 2.50-2.62, 2 Cu 2.56
Ni: 0.1088 0.5000 0.9300  4 Cu 2.50-2.62, 1 Ni 2.57, 2 Tb 2.80

- Fermi-level density of states: 8.03 states/eV/cell
- E: -4.9977 eV per atom
- Crystal system: monoclinic
- Energy above the lowest structure with this stoichiometry: 0.0165 eV/atom

5.
LiHgTe2N: optimized geometry, PBE.

Lattice parameters (Å, degrees): 5.9653 5.9653 4.0258 90.00 90.00 90.00
Closest atoms and distances in Å follow each position.
Space group P4/mmm (No. 123)
Inequivalent atoms, fractional coordinates:
Li: 0.0000 0.0000 0.0000  8 Te 3.60, 2 Li 4.03
Hg: 0.5000 0.5000 0.5000  2 N 2.01
Te: 0.0000 0.5000 0.5000  2 Hg 2.98
N: 0.5000 0.5000 0.0000  2 Hg 2.01

- Fermi-level density of states: 3.63 states/eV/cell
- E_form (uncorrected): 406 kJ/mol of formula units
- E: -2.5226 eV per atom
- Crystal system: tetragonal
- Energy above the lowest structure with this stoichiometry: 0.0392 eV/atom

6.
CeFeSi: optimized geometry, PBE.

Lattice parameters (Å, degrees): 4.0381 4.0381 6.6683 90.00 90.00 90.00
Closest atoms and distances in Å follow each position.
Space group P4/nmm (No. 129, origin choice 2)
Inequivalent atoms, fractional coordinates:
Ce: 0.2500 0.2500 0.1881  4 Fe 2.90, 4 Si 2.99
Fe: 0.2500 0.7500 0.5000  4 Si 2.34
Si: 0.2500 0.2500 0.6778  4 Fe 2.34

- Fermi-level density of states: 6.84 states/eV/cell
- E_form (uncorrected): -176 kJ/mol of formula units
- E: -7.2144 eV per atom
- Crystal system: tetragonal

7.
InBi2O: optimized geometry, PBE.

Lattice parameters (Å, degrees): 7.1533 7.1533 7.1533 90.00 90.00 90.00
Closest atoms and distances in Å follow each position.
Space group Fm-3m (No. 225)
Inequivalent atoms, fractional coordinates:
In: 0.0000 0.0000 0.0000  8 Bi 3.10
Bi: 0.2500 0.2500 0.2500  4 O 3.10, 4 In 3.10
O: 0.0000 0.0000 0.5000  8 Bi 3.10

- Fermi-level density of states: 8.49 states/eV/cell
- E_form (uncorrected): 59 kJ/mol of formula units
- E: -3.7115 eV per atom
- Crystal system: cubic
- Energy above the lowest structure with this stoichiometry: 0.3569 eV/atom

8.
YTa2Mn2: optimized geometry, PBE.

Lattice parameters (Å, degrees): 4.2192 4.2192 10.2459 90.00 90.00 90.00
Closest atoms and distances in Å follow each position.
Space group I4/mmm (No. 139)
Inequivalent atoms, fractional coordinates:
Y: 0.0000 0.0000 0.0000  8 Mn 3.19, 8 Ta 3.32
Ta: 0.0000 0.5000 0.2500  4 Mn 2.55
Mn: 0.0000 0.0000 0.3902  1 Mn 2.25

- Fermi-level density of states: 13.64 states/eV/cell
- E: -9.6072 eV per atom
- Crystal system: tetragonal